# 1
First-principles (meta-GGA SCAN) data for Hg5Pb3 at its PBEsol-relaxed geometry, as listed in the Alexandria database.

extended XYZ file:
```
16
Lattice="-5.8720 5.8720 3.0343 5.8720 -5.8720 3.0343 5.8720 5.8720 -3.0343" Properties=species:S:1:pos:R:3 pbc="T T T"
Hg 8.8847 0.7632 0.0000
Hg 0.7632 2.8593 0.0000
Hg 5.8720 0.0000 1.5171
Hg 6.6352 3.0127 0.0000
Hg 3.0127 5.1088 0.0000
Hg 2.8593 0.7632 3.0343
Hg -0.7632 2.8593 3.0343
Hg 0.0000 5.8720 1.5171
Hg 5.1088 3.0127 3.0343
Hg -3.0127 5.1088 3.0343
Pb 3.7378 2.1342 0.0000
Pb 0.0000 0.0000 1.5171
Pb 3.7378 -2.1342 3.0343
Pb 2.1342 8.0062 0.0000
Pb 0.0000 0.0000 4.5514
Pb 2.1342 3.7378 3.0343
```

- ΔE_f (eV per atom) = 0.08
- theoretical density (g cm⁻³) = 12.9
- symmetry = I4/mcm (140)



# 2
First-principles (meta-GGA SCAN) data for HgPb3 at its PBEsol-relaxed geometry, as listed in the Alexandria database.

extended XYZ file:
```
4
Lattice="-2.3703 2.3703 4.9616 2.3703 -2.3703 4.9616 2.3703 2.3703 -4.9616" Properties=species:S:1:pos:R:3 pbc="T T T"
Hg 0.0000 0.0000 0.0000
Pb 2.3703 0.0000 2.4808
Pb 0.0000 0.0000 4.9616
Pb 0.0000 2.3703 2.4808
```

- ΔE_f (eV per atom) = 0.02
- theoretical density (g cm⁻³) = 12.2
- symmetry = I4/mmm (139)



# 3
First-principles (meta-GGA SCAN) data for HgPb at its PBEsol-relaxed geometry, as listed in the Alexandria database.

extended XYZ file:
```
4
Lattice="3.3491 0.0000 0.0000 0.0000 5.0753 0.0000 -1.5762 0.0000 6.1653" Properties=species:S:1:pos:R:3 pbc="T T T"
Hg 0.0696 1.2688 0.8288
Hg 1.7032 3.8065 5.3366
Pb 0.0229 1.2688 4.0249
Pb 1.7499 3.8065 2.1404
```

- ΔE_f (eV per atom) = 0.04
- theoretical density (g cm⁻³) = 12.9
- symmetry = P2_1/m (11)



# 4
First-principles (meta-GGA SCAN) data for HgPb at its PBEsol-relaxed geometry, as listed in the Alexandria database.

extended XYZ file:
```
4
Lattice="2.5808 1.4900 4.5819 -2.5808 1.4900 4.5819 0.0000 -2.9801 4.5819" Properties=species:S:1:pos:R:3 pbc="T T T"
Hg 0.0000 0.0000 1.7780
Hg 0.0000 0.0000 11.9676
Pb 0.0000 0.0000 5.2191
Pb 0.0000 0.0000 8.5266
```

- ΔE_f (eV per atom) = 0.05
- theoretical density (g cm⁻³) = 12.8
- symmetry = R-3m (166)



# 5
First-principles (meta-GGA SCAN) data for Pr2HgPb at its PBEsol-relaxed geometry, as listed in the Alexandria database.

extended XYZ file:
```
4
Lattice="0.0000 3.8374 3.8374 3.8374 0.0000 3.8374 3.8374 3.8374 0.0000" Properties=species:S:1:pos:R:3 pbc="T T T"
Pr 1.9187 1.9187 1.9187
Pr 5.7560 5.7560 5.7560
Hg 0.0000 0.0000 0.0000
Pb 3.8374 3.8374 3.8374
```

- ΔE_f (eV per atom) = -0.74
- theoretical density (g cm⁻³) = 10.1
- symmetry = Fm-3m (225)



# 6
First-principles (meta-GGA SCAN) data for HgPtPb2 at its PBEsol-relaxed geometry, as listed in the Alexandria database.

extended XYZ file:
```
4
Lattice="1.9337 1.1164 7.8821 -1.9337 1.1164 7.8821 0.0000 -2.2329 7.8821" Properties=species:S:1:pos:R:3 pbc="T T T"
Hg 0.0000 0.0000 0.0000
Pt 0.0000 0.0000 11.8232
Pb 0.0000 0.0000 5.5856
Pb 0.0000 0.0000 18.0608
```

- ΔE_f (eV per atom) = -0.13
- theoretical density (g cm⁻³) = 13.2
- symmetry = R-3m (166)



# 7
First-principles (meta-GGA SCAN) data for HgPt2Pb at its PBEsol-relaxed geometry, as listed in the Alexandria database.

extended XYZ file:
```
4
Lattice="-1.9650 2.0069 4.7325 1.9650 -2.0069 4.7325 1.9650 2.0069 -4.7325" Properties=species:S:1:pos:R:3 pbc="T T T"
Hg 0.0000 0.0000 0.0000
Pt 0.0000 0.0000 4.5257
Pt 0.0000 2.0069 2.1497
Pb 1.9650 0.0000 2.3911
```

- ΔE_f (eV per atom) = 0.14
- theoretical density (g cm⁻³) = 17.7
- symmetry = Imm2 (44)



# 8
First-principles (meta-GGA SCAN) data for HgPt4Pb at its PBEsol-relaxed geometry, as listed in the Alexandria database.

extended XYZ file:
```
6
Lattice="0.0000 3.7911 3.7911 3.7911 0.0000 3.7911 3.7911 3.7911 0.0000" Properties=species:S:1:pos:R:3 pbc="T T T"
Hg 0.0000 0.0000 0.0000
Pt 2.8416 2.8416 2.8416
Pt 4.7406 4.7406 2.8416
Pt 4.7406 2.8416 4.7406
Pt 2.8416 4.7406 4.7406
Pb 5.6867 5.6867 5.6867
```

- ΔE_f (eV per atom) = -0.02
- theoretical density (g cm⁻³) = 18.1
- symmetry = F-43m (216)



# 9
First-principles (meta-GGA SCAN) data for HgPtPb2 at its PBEsol-relaxed geometry, as listed in the Alexandria database.

extended XYZ file:
```
4
Lattice="3.3607 0.0000 0.0000 0.0000 3.3607 0.0000 0.0000 0.0000 8.5419" Properties=species:S:1:pos:R:3 pbc="T T T"
Hg 0.0000 0.0000 0.0000
Pt 0.0000 0.0000 4.2710
Pb 1.6803 1.6803 2.5464
Pb 1.6803 1.6803 5.9956
```

- ΔE_f (eV per atom) = -0.07
- theoretical density (g cm⁻³) = 13.9
- symmetry = P4/mmm (123)



# 10
First-principles (meta-GGA SCAN) data for HgPtPb2 at its PBEsol-relaxed geometry, as listed in the Alexandria database.

extended XYZ file:
```
4
Lattice="-1.6970 2.5190 5.5413 1.6970 -2.5190 5.5413 1.6970 2.5190 -5.5413" Properties=species:S:1:pos:R:3 pbc="T T T"
Hg 0.0000 0.0000 0.0000
Pt 1.6970 0.0000 2.2904
Pb 0.0000 0.0000 4.5604
Pb 0.0000 2.5190 2.2473
```

- ΔE_f (eV per atom) = 0.06
- theoretical density (g cm⁻³) = 14.2
- symmetry = Imm2 (44)



# 11
First-principles (meta-GGA SCAN) data for HgPtPb2 at its PBEsol-relaxed geometry, as listed in the Alexandria database.

extended XYZ file:
```
4
Lattice="3.3914 0.0000 0.0000 0.0000 3.3914 0.0000 0.0000 0.0000 8.0812" Properties=species:S:1:pos:R:3 pbc="T T T"
Hg 0.0000 0.0000 0.0000
Pt 1.6957 1.6957 6.5219
Pb 0.0000 0.0000 4.8572
Pb 1.6957 1.6957 2.1414
```

- ΔE_f (eV per atom) = 0.05
- theoretical density (g cm⁻³) = 14.5
- symmetry = P4mm (99)



# 12
First-principles (meta-GGA SCAN) data for HgPtPb2 at its PBEsol-relaxed geometry, as listed in the Alexandria database.

extended XYZ file:
```
4
Lattice="4.9732 0.0000 0.0000 0.0000 4.9732 0.0000 0.0000 0.0000 3.7059" Properties=species:S:1:pos:R:3 pbc="T T T"
Hg 0.0000 0.0000 0.0000
Pt 2.4866 2.4866 0.0000
Pb 0.0000 2.4866 1.8529
Pb 2.4866 0.0000 1.8529
```

- ΔE_f (eV per atom) = 0.15
- theoretical density (g cm⁻³) = 14.7
- symmetry = P4/mmm (123)



Question: Which of these has the lowest theoretical density?
Answer: Pr2HgPb